Entry 1:
A relaxed PmZnAg2F8 crystal, computed with PBE-GGA.

The structure belongs to space group P-1 (No. 2); the cell edges are 3.950, 5.526 and 8.063 Å and the angles 89.26°, 89.70° and 88.25°. The inequivalent atoms are Pm at (0.000, 0.000, 0.000), Zn at (0.000, 0.000, 0.500), Ag at (0.484, 0.483, 0.272), F at (0.012, 0.142, 0.282), F at (0.015, 0.330, 0.820), F at (0.442, 0.768, 0.465) and F at (0.497, 0.218, 0.057).

Its crystal system is triclinic.



Entry 2:
A relaxed CaCoSi2Rh crystal, computed with PBE-GGA.

The structure belongs to space group I-4m2 (No. 119); the cell edges are 4.009, 4.009 and 9.967 Å and the angles 90.00°, 90.00° and 90.00°. The inequivalent atoms are Ca at (0.000, 0.000, 0.000), Co at (0.000, 0.500, 0.250), Si at (0.000, 0.000, 0.372) and Rh at (0.000, 0.500, 0.750).

Its crystal system is tetragonal.



no.,formation energy from raw total energies (eV/atom),E_tot (eV per atom)
1,-2.333,-4.558
2,-0.780,-6.241